Here is a relaxed structure of BeNiMo from the Alexandria database. Energies are from PBE.

Cell: 4.5880 4.6367 6.3760 Å, 90.00 90.00 90.00°
Last column: nearest neighbours and their distance in Å.
Space group Imma (No. 74)
Asymmetric unit:
Be (0.2500, 0.2500, 0.2500) [4 per cell]  4 Ni 2.28, 2 Be 2.29
Ni (0.0000, 0.0000, 0.0000) [4 per cell]  4 Be 2.28, 2 Ni 2.32
Mo (0.0000, 0.2500, 0.6202) [4 per cell]  6 Be 2.62-2.72, 6 Ni 2.68, 4 Mo 2.78-2.83

Its crystal system is orthorhombic.



Here is a relaxed structure of BeNi2Mo from the Alexandria database. Energies are from PBE.

Cell: 2.5995 2.5995 6.5772 Å, 90.00 90.00 90.00°
Last column: nearest neighbours and their distance in Å.
Space group P4/mmm (No. 123)
Asymmetric unit:
Be (0.0000, 0.0000, 0.0000) [1 per cell]  8 Ni 2.27
Ni (0.5000, 0.5000, 0.2015) [2 per cell]  4 Be 2.27
Mo (0.0000, 0.0000, 0.5000) [1 per cell]  4 Mo 2.60, 8 Ni 2.69

Its crystal system is tetragonal.



Here is a relaxed structure of BeNi2Mo from the Alexandria database. Energies are from PBE.

Cell: 2.6193 2.6193 23.4672 Å, 90.00 90.00 120.00°
Last column: nearest neighbours and their distance in Å.
Space group R-3m (No. 166, hexagonal axes)
Asymmetric unit:
Be (0.0000, 0.0000, 0.0000) [3 per cell]  6 Ni 2.28
Ni (0.0000, 0.0000, 0.2606) [6 per cell]  3 Be 2.28
Mo (0.0000, 0.0000, 0.5000) [3 per cell]  6 Mo 2.62, 6 Ni 2.67

Its crystal system is trigonal.



Here is a relaxed structure of BeNiMo from the Alexandria database. Energies are from PBE.

Cell: 5.4120 5.4120 5.4120 Å, 90.00 90.00 90.00°
Last column: nearest neighbours and their distance in Å.
Space group F-43m (No. 216)
Asymmetric unit:
Be (0.0000, 0.0000, 0.0000) [4 per cell]  4 Ni 2.34
Ni (0.2500, 0.2500, 0.2500) [4 per cell]  4 Mo 2.34, 4 Be 2.34
Mo (0.0000, 0.0000, 0.5000) [4 per cell]  4 Ni 2.34

Its crystal system is cubic.



Raw total energy in eV/atom, matching the order above: -7.039; -6.771; -6.515; -6.606
ΔE_f in eV per atom, matching the order above: -0.259; -0.241; 0.015; 0.174